# FeTe3H SCAN PBEsol geometry
data_FeTe3H
_chemical_formula_sum 'Fe1 Te3 H1'
_space_group_name_H-M_alt 'P m -3 m'
_space_group_IT_number 221
_space_group_name_Hall '-P 4 2 3'
_cell_length_a 5.047
_cell_length_b 5.047
_cell_length_c 5.047
_cell_angle_alpha 90.00
_cell_angle_beta 90.00
_cell_angle_gamma 90.00
loop_
_atom_site_label
_atom_site_type_symbol
_atom_site_fract_x
_atom_site_fract_y
_atom_site_fract_z
Fe1 Fe 0.000 0.000 0.000
Te1 Te 0.000 0.000 0.500
H1 H 0.500 0.500 0.500
# Uncorrected energy, eV/atom: -25.87

# Ni5Rh SCAN PBEsol geometry
data_Ni5Rh
_chemical_formula_sum 'Ni10 Rh2'
_space_group_name_H-M_alt 'A m m 2'
_space_group_IT_number 38
_cell_length_a 4.061
_cell_length_b 2.531
_cell_length_c 12.903
_cell_angle_alpha 90.00
_cell_angle_beta 90.00
_cell_angle_gamma 90.00
loop_
_space_group_symop_operation_xyz
'x,y,z'
'-x,-y,z'
'-x,y,z'
'x,-y,z'
'x,y+1/2,z+1/2'
'-x,-y+1/2,z+1/2'
'-x,y+1/2,z+1/2'
'x,-y+1/2,z+1/2'
loop_
_atom_site_label
_atom_site_type_symbol
_atom_site_fract_x
_atom_site_fract_y
_atom_site_fract_z
Ni1 Ni 0.000 0.000 0.000
Ni2 Ni 0.000 0.000 0.326
Ni3 Ni 0.000 0.000 0.663
Ni4 Ni 0.500 0.000 0.215
Ni5 Ni 0.500 0.000 0.554
Rh1 Rh 0.500 0.000 0.885
# DFT formation energy, eV per atom: 0.0597

# Li2CdRhS SCAN PBEsol geometry
data_Li2CdRhS
_chemical_formula_sum 'Li2 Cd1 Rh1 S1'
_space_group_name_H-M_alt 'P 4/m m m'
_space_group_IT_number 123
_space_group_name_Hall '-P 4 2'
_cell_length_a 4.961
_cell_length_b 4.961
_cell_length_c 4.229
_cell_angle_alpha 90.00
_cell_angle_beta 90.00
_cell_angle_gamma 90.00
loop_
_atom_site_label
_atom_site_type_symbol
_atom_site_fract_x
_atom_site_fract_y
_atom_site_fract_z
Li1 Li 0.000 0.500 0.000
Cd1 Cd 0.000 0.000 0.500
Rh1 Rh 0.500 0.500 0.000
S1 S 0.500 0.500 0.500
# E_form (uncorrected), eV per atom: -0.2528

# SrScCl3 SCAN PBEsol geometry
data_SrScCl3
_chemical_formula_sum 'Sr1 Sc1 Cl3'
_space_group_name_H-M_alt 'P m -3 m'
_space_group_IT_number 221
_space_group_name_Hall '-P 4 2 3'
_cell_length_a 4.974
_cell_length_b 4.974
_cell_length_c 4.974
_cell_angle_alpha 90.00
_cell_angle_beta 90.00
_cell_angle_gamma 90.00
loop_
_atom_site_label
_atom_site_type_symbol
_atom_site_fract_x
_atom_site_fract_y
_atom_site_fract_z
Sr1 Sr 0.000 0.000 0.000
Sc1 Sc 0.500 0.500 0.500
Cl1 Cl 0.000 0.500 0.500
# E_form (uncorrected), eV per atom: -1.7649

# Li2Co4OF8 SCAN PBEsol geometry
data_Li2Co4OF8
_chemical_formula_sum 'Li4 Co8 O2 F16'
_space_group_name_H-M_alt 'P -1'
_space_group_IT_number 2
_cell_length_a 6.822
_cell_length_b 7.179
_cell_length_c 7.623
_cell_angle_alpha 70.99
_cell_angle_beta 68.08
_cell_angle_gamma 70.85
loop_
_space_group_symop_operation_xyz
'x,y,z'
'-x,-y,-z'
loop_
_atom_site_label
_atom_site_type_symbol
_atom_site_fract_x
_atom_site_fract_y
_atom_site_fract_z
Li1 Li 0.109 0.273 0.484
Li2 Li 0.144 0.869 0.872
Co1 Co 0.174 0.491 0.781
Co2 Co 0.349 0.112 0.022
Co3 Co 0.353 0.599 0.188
Co4 Co 0.448 0.848 0.430
O1 O 0.440 0.287 0.783
F1 F 0.038 0.313 0.058
F2 F 0.040 0.567 0.302
F3 F 0.173 0.911 0.093
F4 F 0.184 0.726 0.551
F5 F 0.284 0.102 0.292
F6 F 0.300 0.015 0.643
F7 F 0.356 0.605 0.921
F8 F 0.367 0.375 0.425
# E_form (uncorrected), eV per atom: -2.2061

# ScMnSi2 SCAN PBEsol geometry
data_ScMnSi2
_chemical_formula_sum 'Sc2 Mn2 Si4'
_space_group_name_H-M_alt 'I -4 m 2'
_space_group_IT_number 119
_space_group_name_Hall 'I -4 -2'
_cell_length_a 3.716
_cell_length_b 3.716
_cell_length_c 8.465
_cell_angle_alpha 90.00
_cell_angle_beta 90.00
_cell_angle_gamma 90.00
loop_
_atom_site_label
_atom_site_type_symbol
_atom_site_fract_x
_atom_site_fract_y
_atom_site_fract_z
Sc1 Sc 0.000 0.000 0.000
Mn1 Mn 0.000 0.500 0.750
Si1 Si 0.000 0.000 0.500
Si2 Si 0.000 0.500 0.250
# E_form (uncorrected), eV per atom: -0.4134

# ZrTa2BiPt SCAN PBEsol geometry
data_ZrTa2BiPt
_chemical_formula_sum 'Zr1 Ta2 Bi1 Pt1'
_space_group_name_H-M_alt 'P 4/m m m'
_space_group_IT_number 123
_space_group_name_Hall '-P 4 2'
_cell_length_a 4.919
_cell_length_b 4.919
_cell_length_c 4.936
_cell_angle_alpha 90.00
_cell_angle_beta 90.00
_cell_angle_gamma 90.00
loop_
_atom_site_label
_atom_site_type_symbol
_atom_site_fract_x
_atom_site_fract_y
_atom_site_fract_z
Zr1 Zr 0.000 0.000 0.000
Ta1 Ta 0.000 0.500 0.000
Bi1 Bi 0.500 0.500 0.500
Pt1 Pt 0.000 0.000 0.500
# DFT formation energy, eV per atom: 1.5660

# NaLiAl2Tc SCAN PBEsol geometry
data_NaLiAl2Tc
_chemical_formula_sum 'Na1 Li1 Al2 Tc1'
_space_group_name_H-M_alt 'P 4/m m m'
_space_group_IT_number 123
_space_group_name_Hall '-P 4 2'
_cell_length_a 4.470
_cell_length_b 4.470
_cell_length_c 4.060
_cell_angle_alpha 90.00
_cell_angle_beta 90.00
_cell_angle_gamma 90.00
loop_
_atom_site_label
_atom_site_type_symbol
_atom_site_fract_x
_atom_site_fract_y
_atom_site_fract_z
Na1 Na 0.000 0.000 0.000
Li1 Li 0.000 0.000 0.500
Al1 Al 0.000 0.500 0.500
Tc1 Tc 0.500 0.500 0.000
# DFT formation energy, eV per atom: 0.8904

Results for M_tot: 5.006, 9.803, 0.000, 0.000, 24.000, 6.739, 0.000, 2.823 (in μB/cell, following the order of the records).